12
Lattice="8.5926 0.0000 0.0000 0.0000 7.2122 0.0000 0.0000 0.0000 4.1254" Properties=species:S:1:pos:R:3 comment="BaNiN PBE optimized geometry" total_magnetization_mub_per_fu=0.00 energy_ev_per_cell=-65.950 e_form_raw_ev_per_fu=-0.46 pbc="T T T"
Ba 2.2174 0.0000 0.0000
Ba 6.3752 0.0000 0.0000
Ba 6.5137 3.6061 0.0000
Ba 2.0789 3.6061 0.0000
Ni 0.0000 6.0008 2.0627
Ni 0.0000 1.2114 2.0627
Ni 4.2963 2.3947 2.0627
Ni 4.2963 4.8175 2.0627
N 0.0000 4.2264 2.0627
N 0.0000 2.9858 2.0627
N 4.2963 0.6203 2.0627
N 4.2963 6.5919 2.0627